{
  "formula": "KHgBr2F",
  "functional": "PBE-GGA",
  "state": "optimized geometry",
  "lattice": [[7.3275, 0.0000, 0.0000], [0.0000, 4.3947, 0.0000], [-2.8367, 0.0000, 9.2826]],
  "species": ["K", "K", "Hg", "Hg", "Br", "Br", "Br", "Br", "F", "F"],
  "frac_coords": [[0.1471, 0.2500, 0.3111], [0.8529, 0.7500, 0.6889], [0.3574, 0.2500, 0.8048], [0.6426, 0.7500, 0.1952], [0.2901, 0.7500, 0.0501], [0.3474, 0.7500, 0.6101], [0.6526, 0.2500, 0.3899], [0.7099, 0.2500, 0.9499], [0.0486, 0.2500, 0.7454], [0.9514, 0.7500, 0.2546]],
  "formation_energy_uncorrected_kj_per_mol_atoms": -128,
  "n_ef_per_ev_atom": 0.0000,
  "e_tot_ev_per_atom": -2.653,
  "de_polymorph_ev_per_atom": 0.0000
}

---

{
  "formula": "La2DyPaN4",
  "functional": "PBE-GGA",
  "state": "optimized geometry",
  "lattice": [[6.1394, 0.0000, 0.0000], [0.0000, 3.5973, 0.0000], [-2.0465, 0.0000, 6.0009]],
  "species": ["La", "La", "Dy", "Pa", "N", "N", "N", "N"],
  "frac_coords": [[0.0000, 0.0000, 0.0000], [0.5000, 0.5000, 0.0000], [0.0000, 0.5000, 0.5000], [0.5000, 0.0000, 0.5000], [0.2548, 0.0000, 0.7163], [0.2730, 0.5000, 0.2896], [0.7270, 0.5000, 0.7104], [0.7452, 0.0000, 0.2837]],
  "formation_energy_uncorrected_kj_per_mol_atoms": -151,
  "n_ef_per_ev_atom": 0.4022,
  "e_tot_ev_per_atom": -8.718
}

---

{
  "formula": "Pm5SmY2Tm",
  "functional": "PBE-GGA",
  "state": "optimized geometry",
  "lattice": [[2.8473, -10.1287, 0.0000], [2.8473, 10.1287, 0.0000], [0.0000, 0.0000, 10.6403]],
  "species": ["Pm", "Pm", "Pm", "Pm", "Pm", "Pm", "Pm", "Pm", "Pm", "Pm", "Sm", "Sm", "Y", "Y", "Y", "Y", "Tm", "Tm"],
  "frac_coords": [[0.0184, 0.9816, 0.5000], [0.2810, 0.7190, 0.7936], [0.2976, 0.7024, 0.1863], [0.3871, 0.6129, 0.5022], [0.4808, 0.5192, 0.2222], [0.5192, 0.4808, 0.7222], [0.6129, 0.3871, 0.0022], [0.7024, 0.2976, 0.6864], [0.7190, 0.2810, 0.2936], [0.9816, 0.0184, 0.0000], [0.4114, 0.5886, 0.9379], [0.5886, 0.4114, 0.4379], [0.1128, 0.8872, 0.2146], [0.1155, 0.8845, 0.7972], [0.8845, 0.1155, 0.2972], [0.8872, 0.1128, 0.7146], [0.1998, 0.8002, 0.4911], [0.8002, 0.1998, 0.9911]],
  "e_form_ev_per_atom": 0.144,
  "n_ef_per_ev_atom": 1.6172,
  "e_tot_ev_per_atom": -4.953
}

---

{
  "formula": "GdErIn2",
  "functional": "PBE-GGA",
  "state": "optimized geometry",
  "lattice": [[4.9030, 0.0000, 0.0000], [0.0000, 4.9030, 0.0000], [0.0000, 0.0000, 4.4106]],
  "species": ["Gd", "Er", "In", "In"],
  "frac_coords": [[0.0000, 0.0000, 0.0000], [0.5000, 0.5000, 0.0000], [0.0000, 0.5000, 0.5000], [0.5000, 0.0000, 0.5000]],
  "e_form_ev_per_atom": -0.466,
  "n_ef_per_ev_atom": 0.6441,
  "e_tot_ev_per_atom": -6.496
}

---

{
  "formula": "HgSeCl2",
  "functional": "PBE-GGA",
  "state": "optimized geometry",
  "lattice": [[-1.9371, 1.9371, 6.8275], [1.9371, -1.9371, 6.8275], [1.9371, 1.9371, -6.8275]],
  "species": ["Hg", "Se", "Cl", "Cl"],
  "frac_coords": [[0.0000, 0.0000, 0.0000], [0.2500, 0.7500, 0.5000], [0.5000, 0.5000, 0.0000], [0.7500, 0.2500, 0.5000]],
  "formation_energy_uncorrected_kj_per_mol_atoms": 9,
  "n_ef_per_ev_atom": 0.6065,
  "e_tot_ev_per_atom": -1.778,
  "de_polymorph_ev_per_atom": 0.3730
}

---

{
  "formula": "Fe14SiGe",
  "functional": "PBE-GGA",
  "state": "optimized geometry",
  "lattice": [[5.0533, 0.0000, 0.0000], [0.0000, 5.0533, 0.0000], [0.0000, 0.0000, 7.2478]],
  "species": ["Fe", "Fe", "Fe", "Fe", "Fe", "Fe", "Fe", "Fe", "Fe", "Fe", "Fe", "Fe", "Fe", "Fe", "Si", "Ge"],
  "frac_coords": [[0.0000, 0.0000, 0.0000], [0.0000, 0.5000, 0.0000], [0.0000, 0.5000, 0.5000], [0.2454, 0.2454, 0.2515], [0.2454, 0.2454, 0.7485], [0.2454, 0.7546, 0.2515], [0.2454, 0.7546, 0.7485], [0.5000, 0.0000, 0.0000], [0.5000, 0.0000, 0.5000], [0.5000, 0.5000, 0.0000], [0.7546, 0.2454, 0.2515], [0.7546, 0.2454, 0.7485], [0.7546, 0.7546, 0.2515], [0.7546, 0.7546, 0.7485], [0.0000, 0.0000, 0.5000], [0.5000, 0.5000, 0.5000]],
  "formation_energy_uncorrected_kj_per_mol_atoms": -1,
  "n_ef_per_ev_atom": 0.9078,
  "e_tot_ev_per_atom": -8.044
}